The following is a PBE calculation of a geometry-optimized PaSi2Ir4 structure, from the Alexandria database.

Values from the calculation:
The value obtained for the total magnetic moment is 0.0 μB per formula unit. For the energy above the most stable polymorph in this dataset, the calculation gives 0.000 kcal/mol of atoms. The formation energy (no corrections) comes out at -717.3 meV per atom. As for the space-group type: No. 62.

Unit cell a=4.0653 b=6.5912 c=16.7948 alpha=90.00 beta=90.00 gamma=90.00
Fractional coordinates of all 28 atoms:
1 Ir 0.2500 0.4876 0.4340
2 Ir 0.2500 0.2731 0.2094
3 Ir 0.7500 0.3565 0.3229
4 Ir 0.7500 0.5124 0.5660
5 Ir 0.7500 0.7269 0.7906
6 Ir 0.7500 0.7731 0.2906
7 Ir 0.2500 0.0124 0.9340
8 Ir 0.7500 0.1435 0.8229
9 Ir 0.2500 0.2269 0.7094
10 Ir 0.2500 0.1302 0.5337
11 Ir 0.2500 0.3698 0.0337
12 Ir 0.7500 0.8698 0.4663
13 Ir 0.2500 0.6435 0.6771
14 Ir 0.2500 0.8565 0.1771
15 Ir 0.7500 0.9876 0.0660
16 Ir 0.7500 0.6302 0.9663
17 Si 0.2500 0.7631 0.0375
18 Si 0.2500 0.7369 0.5375
19 Si 0.7500 0.2369 0.9625
20 Si 0.7500 0.4253 0.7078
21 Si 0.2500 0.5747 0.2922
22 Si 0.7500 0.0747 0.2078
23 Si 0.7500 0.2631 0.4625
24 Si 0.2500 0.9253 0.7922
25 Pa 0.7500 0.5253 0.1415
26 Pa 0.2500 0.4747 0.8585
27 Pa 0.7500 0.9747 0.6415
28 Pa 0.2500 0.0253 0.3585